Record 1
Material: UTl3Pd12
Method: DFT, PBE
State: relaxed

Properties
Crystal system: tetragonal
Magnetization (μB/cell): 0.88

a = 4.0891 Å, b = 4.0891 Å, c = 16.4497 Å
α = 90.00°, β = 90.00°, γ = 90.00°
With the nearest neighbours (Å) after each atom.
Space group P4/mmm (No. 123)
One atom of each set of equivalent atoms:
U: 0.0000 0.0000 0.0000 [1 per cell]  12 Pd 2.84-2.89
Tl: 0.0000 0.0000 0.2544 [2 per cell]  12 Pd 2.85-3.01
Tl: 0.0000 0.0000 0.5000 [1 per cell]  12 Pd 2.89-2.90
Pd: 0.0000 0.5000 0.1198 [4 per cell]  2 U 2.84, 8 Pd 2.84-2.92, 2 Tl 3.01
Pd: 0.0000 0.5000 0.3752 [4 per cell]  4 Tl 2.85-2.90, 8 Pd 2.89-2.94
Pd: 0.5000 0.5000 0.0000 [1 per cell]  8 Pd 2.84, 4 U 2.89
Pd: 0.5000 0.5000 0.2470 [2 per cell]  4 Tl 2.89, 8 Pd 2.92-2.94
Pd: 0.5000 0.5000 0.5000 [1 per cell]  4 Tl 2.89, 8 Pd 2.90

***

Record 2
Material: UTlPd14
Method: DFT, PBE
State: relaxed

Properties
Crystal system: tetragonal
Magnetization (μB/cell): 0.00

a = 5.8172 Å, b = 5.8172 Å, c = 7.6983 Å
α = 90.00°, β = 90.00°, γ = 90.00°
With the nearest neighbours (Å) after each atom.
Space group P4/mmm (No. 123)
One atom of each set of equivalent atoms:
U: 0.0000 0.0000 0.0000 [1 per cell]  12 Pd 2.79-2.91
Tl: 0.5000 0.5000 0.0000 [1 per cell]  12 Pd 2.85-2.91
Pd: 0.0000 0.0000 0.5000 [1 per cell]  12 Pd 2.78-2.91
Pd: 0.0000 0.5000 0.0000 [2 per cell]  8 Pd 2.82, 2 Tl 2.91, 2 U 2.91
Pd: 0.0000 0.5000 0.5000 [2 per cell]  12 Pd 2.81-2.91
Pd: 0.2451 0.2451 0.2508 [8 per cell]  10 Pd 2.78-2.97, 1 U 2.79, 1 Tl 2.85
Pd: 0.5000 0.5000 0.5000 [1 per cell]  12 Pd 2.84-2.91

***

The energy relative to the elements results, record by record, are as follows: -30.5; -22.6 kJ/mol of atoms.